Entry 1:
This record from the Alexandria database describes a relaxed structure of GaHAu2. The functional is PBE-GGA.

a = 6.1087 Å, b = 6.1087 Å, c = 6.1087 Å
α = 129.13°, β = 129.13°, γ = 74.80°
Closest atoms and distances in Å follow each position.
Fractional coordinates of all 8 atoms:
Ga  0.0000  0.0000  0.0000  4 Au 2.57
Ga  0.7500  0.2500  0.5000  4 Au 2.57
H  0.2500  0.7500  0.5000  4 Au 1.95
H  0.5000  0.5000  0.0000  4 Au 1.95
Au  0.2275  0.6250  0.1025  2 H 1.95
Au  0.3750  0.4775  0.6025  2 H 1.95
Au  0.5225  0.1250  0.8975  2 H 1.95
Au  0.8750  0.7725  0.3975  2 H 1.95

Summary:
ΔE to the lowest computed polymorph, eV/f.u.: 0.00
Space-group type: No. 122

Entry 2:
This record from the Alexandria database describes a relaxed structure of LiPrSc2Pd4. The functional is PBE-GGA.

a = 8.8754 Å, b = 8.8754 Å, c = 8.8754 Å
α = 29.95°, β = 29.95°, γ = 29.95°
Closest atoms and distances in Å follow each position.
Fractional coordinates of all 8 atoms:
Li  0.0000  0.0000  0.0000  8 Pd 2.59-2.84
Pr  0.5000  0.5000  0.5000  8 Pd 3.12-3.22
Sc  0.2660  0.2660  0.2660  7 Pd 2.73-2.79
Sc  0.7340  0.7340  0.7340  7 Pd 2.73-2.79
Pd  0.1021  0.1021  0.1021  1 Li 2.59, 3 Sc 2.79
Pd  0.3733  0.3733  0.3733  4 Sc 2.73-2.74, 3 Li 2.84
Pd  0.6267  0.6267  0.6267  4 Sc 2.73-2.74, 3 Li 2.84
Pd  0.8979  0.8979  0.8979  1 Li 2.59, 3 Sc 2.79

Summary:
Formation energy, eV per formula unit: -5.92
Space-group type: No. 166

Entry 3:
This record from the Alexandria database describes a relaxed structure of Tb5DyEr4. The functional is PBE-GGA.

a = 3.5229 Å, b = 7.0517 Å, c = 12.7366 Å
α = 82.09°, β = 82.06°, γ = 89.89°
Closest atoms and distances in Å follow each position.
Fractional coordinates of all 10 atoms:
Tb  0.0000  0.0000  0.0000  8 Er 3.52, 2 Tb 3.52, 2 Dy 3.53
Tb  0.1993  0.0999  0.6009  8 Tb 3.52-3.55, 4 Er 3.53
Tb  0.1992  0.5996  0.6011  8 Tb 3.52-3.55, 4 Er 3.52-3.53
Tb  0.8008  0.4004  0.3989  8 Tb 3.52-3.55, 4 Er 3.52-3.53
Tb  0.8007  0.9001  0.3991  8 Tb 3.52-3.55, 4 Er 3.53
Dy  0.0000  0.5000  0.0000  8 Er 3.52, 2 Dy 3.52, 2 Tb 3.53
Er  0.4004  0.2005  0.1990  2 Dy 3.52, 6 Tb 3.52-3.53, 4 Er 3.52-3.53
Er  0.4006  0.7002  0.1989  2 Dy 3.52, 6 Tb 3.52-3.53, 4 Er 3.52-3.53
Er  0.5994  0.2998  0.8011  2 Dy 3.52, 6 Tb 3.52-3.53, 4 Er 3.52-3.53
Er  0.5996  0.7995  0.8010  2 Dy 3.52, 6 Tb 3.52-3.53, 4 Er 3.52-3.53

Summary:
ΔE to the lowest computed polymorph, eV/f.u.: 0.00
Formation energy, eV per formula unit: 0.16
Space-group type: No. 2

Entry 4:
This record from the Alexandria database describes a relaxed structure of ErScRhAu. The functional is PBE-GGA.

a = 4.8220 Å, b = 4.8220 Å, c = 4.8220 Å
α = 60.00°, β = 60.00°, γ = 60.00°
Closest atoms and distances in Å follow each position.
Fractional coordinates of all 4 atoms:
Er  0.0000  0.0000  0.0000  4 Rh 2.95, 4 Au 2.95
Sc  0.5000  0.5000  0.5000  4 Rh 2.95, 4 Au 2.95
Rh  0.2500  0.2500  0.2500  4 Er 2.95, 4 Sc 2.95
Au  0.7500  0.7500  0.7500  4 Er 2.95, 4 Sc 2.95

Summary:
ΔE to the lowest computed polymorph, eV/f.u.: 0.14
Formation energy, eV per formula unit: -3.37
Space-group type: No. 216

Entry 5:
This record from the Alexandria database describes a relaxed structure of SmDy3Co. The functional is PBE-GGA.

a = 7.8138 Å, b = 7.3548 Å, c = 9.9332 Å
α = 90.00°, β = 107.26°, γ = 90.00°
Closest atoms and distances in Å follow each position.
Fractional coordinates of all 20 atoms:
Sm  0.1820  0.0564  0.2532  1 Co 3.16, 3 Dy 3.27-3.50
Sm  0.1820  0.4436  0.7532  1 Co 3.16, 3 Dy 3.27-3.50
Sm  0.8180  0.5564  0.2468  1 Co 3.16, 3 Dy 3.27-3.50
Sm  0.8180  0.9436  0.7468  1 Co 3.16, 3 Dy 3.27-3.50
Dy  0.0886  0.7001  0.0342  1 Co 2.73
Dy  0.0886  0.7999  0.5342  1 Co 2.73
Dy  0.2912  0.5045  0.3860  2 Co 2.71-2.79
Dy  0.2912  0.9955  0.8860  2 Co 2.71-2.79
Dy  0.4231  0.1281  0.6112  3 Co 2.77-2.84
Dy  0.4231  0.3719  0.1112  3 Co 2.77-2.84
Dy  0.5769  0.6281  0.8888  3 Co 2.77-2.84
Dy  0.5769  0.8719  0.3888  3 Co 2.77-2.84
Dy  0.7088  0.0045  0.1140  2 Co 2.71-2.79
Dy  0.7088  0.4955  0.6140  2 Co 2.71-2.79
Dy  0.9114  0.2001  0.4658  1 Co 2.73
Dy  0.9114  0.2999  0.9658  1 Co 2.73
Co  0.4504  0.7456  0.6045  6 Dy 2.71-2.84
Co  0.4504  0.7544  0.1045  6 Dy 2.71-2.84
Co  0.5496  0.2456  0.8955  6 Dy 2.71-2.84
Co  0.5496  0.2544  0.3955  6 Dy 2.71-2.84

Summary:
ΔE to the lowest computed polymorph, eV/f.u.: 0.40
Formation energy, eV per formula unit: -0.10
Space-group type: No. 14

Entry 6:
This record from the Alexandria database describes a relaxed structure of BaLa2CuS4. The functional is PBE-GGA.

a = 7.2642 Å, b = 7.2642 Å, c = 14.1898 Å
α = 90.00°, β = 90.00°, γ = 147.06°
Closest atoms and distances in Å follow each position.
Fractional coordinates of all 16 atoms:
Ba  0.1098  0.8902  0.7500  6 S 3.23
Ba  0.8902  0.1098  0.2500  6 S 3.23
La  0.3693  0.6307  0.5576  6 S 2.86-2.96
La  0.3693  0.6307  0.9424  6 S 2.86-2.96
La  0.6307  0.3693  0.0576  6 S 2.86-2.96
La  0.6307  0.3693  0.4424  6 S 2.86-2.96
Cu  0.1600  0.8400  0.2500  4 S 2.36-2.42
Cu  0.8400  0.1600  0.7500  4 S 2.36-2.42
S  0.0000  0.0000  0.0000  4 La 2.87
S  0.0000  0.0000  0.5000  4 La 2.87
S  0.2683  0.7317  0.1220  1 Cu 2.36
S  0.2683  0.7317  0.3780  1 Cu 2.36
S  0.4313  0.5687  0.7500  2 Cu 2.42
S  0.5687  0.4313  0.2500  2 Cu 2.42
S  0.7317  0.2683  0.6220  1 Cu 2.36
S  0.7317  0.2683  0.8780  1 Cu 2.36

Summary:
VASP energy, eV/cell: -93.80
Space-group type: No. 63

Entry 7:
This record from the Alexandria database describes a relaxed structure of BaSrSe2O6. The functional is PBE-GGA.

a = 7.0895 Å, b = 7.0895 Å, c = 7.0895 Å
α = 49.28°, β = 49.28°, γ = 49.28°
Closest atoms and distances in Å follow each position.
Fractional coordinates of all 10 atoms:
Ba  0.0000  0.0000  0.0000  6 O 2.82
Sr  0.5000  0.5000  0.5000  6 O 2.56
Se  0.2084  0.2084  0.2084  3 O 1.73
Se  0.7916  0.7916  0.7916  3 O 1.73
O  0.0343  0.5021  0.7237  1 Se 1.73
O  0.2763  0.9657  0.4979  1 Se 1.73
O  0.4979  0.2763  0.9657  1 Se 1.73
O  0.5021  0.7237  0.0343  1 Se 1.73
O  0.7237  0.0343  0.5021  1 Se 1.73
O  0.9657  0.4979  0.2763  1 Se 1.73

Summary:
VASP energy, eV/cell: -58.63
Space-group type: No. 148

Entry 8:
This record from the Alexandria database describes a relaxed structure of CaCdOs2. The functional is PBE-GGA.

a = 5.6417 Å, b = 5.6417 Å, c = 2.7905 Å
α = 102.49°, β = 102.49°, γ = 118.95°
Closest atoms and distances in Å follow each position.
Fractional coordinates of all 4 atoms:
Ca  0.0000  0.0000  0.0000  2 Ca 2.79, 4 Os 2.86, 4 Cd 2.87-3.03
Cd  0.5000  0.5000  0.0000  2 Cd 2.79, 4 Os 2.86, 4 Ca 2.87-3.03
Os  0.0000  0.5000  0.5000  6 Os 2.79-3.03, 2 Cd 2.86, 2 Ca 2.86
Os  0.5000  0.0000  0.5000  6 Os 2.79-3.03, 2 Cd 2.86, 2 Ca 2.86

Summary:
Formation energy, eV per formula unit: 2.66
Space-group type: No. 12

Entry 9:
This record from the Alexandria database describes a relaxed structure of LaSm2H. The functional is PBE-GGA.

a = 9.9154 Å, b = 9.9154 Å, c = 9.9154 Å
α = 20.82°, β = 20.82°, γ = 20.82°
Closest atoms and distances in Å follow each position.
Fractional coordinates of all 4 atoms:
La  0.0000  0.0000  0.0000  2 Sm 3.48, 6 La 3.58
Sm  0.1195  0.1195  0.1195  3 H 2.48
Sm  0.8805  0.8805  0.8805  3 H 2.48
H  0.5000  0.5000  0.5000  6 Sm 2.48

Summary:
ΔE to the lowest computed polymorph, eV/f.u.: 0.38
Space-group type: No. 166

Entry 10:
This record from the Alexandria database describes a relaxed structure of Ce2Dy3YP6. The functional is PBE-GGA.

a = 6.9844 Å, b = 6.9844 Å, c = 6.9791 Å
α = 99.60°, β = 99.60°, γ = 120.00°
Closest atoms and distances in Å follow each position.
Fractional coordinates of all 12 atoms:
Ce  0.1666  0.8334  0.0000  6 P 2.86
Ce  0.8334  0.1666  0.0000  6 P 2.86
Dy  0.0000  0.0000  0.5000  6 P 2.84-2.85
Dy  0.3333  0.6667  0.5000  6 P 2.84-2.85
Dy  0.6667  0.3333  0.5000  6 P 2.84-2.85
Y  0.5000  0.5000  0.0000  6 P 2.85-2.86
P  0.0830  0.4163  0.7488  3 Dy 2.85, 1 Y 2.85, 2 Ce 2.86
P  0.2510  0.2510  0.2525  3 Dy 2.84, 1 Y 2.86, 2 Ce 2.86
P  0.4163  0.0830  0.7488  3 Dy 2.85, 1 Y 2.85, 2 Ce 2.86
P  0.5837  0.9170  0.2512  3 Dy 2.85, 1 Y 2.85, 2 Ce 2.86
P  0.7490  0.7490  0.7475  3 Dy 2.84, 1 Y 2.86, 2 Ce 2.86
P  0.9170  0.5837  0.2512  3 Dy 2.85, 1 Y 2.85, 2 Ce 2.86

Summary:
Formation energy, eV per formula unit: -19.00
Space-group type: No. 12

Entry 11:
This record from the Alexandria database describes a relaxed structure of KZrSb. The functional is PBE-GGA.

a = 5.2075 Å, b = 5.2075 Å, c = 5.2075 Å
α = 60.00°, β = 60.00°, γ = 60.00°
Closest atoms and distances in Å follow each position.
Fractional coordinates of all 3 atoms:
K  0.0000  0.0000  0.0000  4 Sb 3.19
Zr  0.5000  0.5000  0.5000  4 Sb 3.19
Sb  0.7500  0.7500  0.7500  4 Zr 3.19, 4 K 3.19

Summary:
VASP energy, eV/cell: -12.91
Space-group type: No. 216

Entry 12:
This record from the Alexandria database describes a relaxed structure of ThCo5Ge3. The functional is PBE-GGA.

a = 6.3098 Å, b = 6.3098 Å, c = 11.4931 Å
α = 90.00°, β = 90.00°, γ = 144.63°
Closest atoms and distances in Å follow each position.
Fractional coordinates of all 18 atoms:
Th  0.1832  0.8168  0.7500  7 Ge 3.14-3.39, 6 Co 3.22-3.45
Th  0.8168  0.1832  0.2500  7 Ge 3.14-3.39, 6 Co 3.22-3.45
Co  0.0000  0.0000  0.0000  6 Co 2.43-2.60, 4 Ge 2.47
Co  0.0000  0.0000  0.5000  6 Co 2.43-2.60, 4 Ge 2.47
Co  0.1910  0.8090  0.0680  4 Ge 2.27-2.45, 1 Co 2.43
Co  0.1910  0.8090  0.4320  4 Ge 2.27-2.45, 1 Co 2.43
Co  0.4516  0.5484  0.6443  4 Ge 2.33-2.35, 3 Co 2.43-2.60
Co  0.4516  0.5484  0.8557  4 Ge 2.33-2.35, 3 Co 2.43-2.60
Co  0.5484  0.4516  0.1443  4 Ge 2.33-2.35, 3 Co 2.43-2.60
Co  0.5484  0.4516  0.3557  4 Ge 2.33-2.35, 3 Co 2.43-2.60
Co  0.8090  0.1910  0.5680  4 Ge 2.27-2.45, 1 Co 2.43
Co  0.8090  0.1910  0.9320  4 Ge 2.27-2.45, 1 Co 2.43
Ge  0.0988  0.9012  0.2500  6 Co 2.35-2.37
Ge  0.3779  0.6221  0.0434  7 Co 2.27-2.47
Ge  0.3779  0.6221  0.4566  7 Co 2.27-2.47
Ge  0.6221  0.3779  0.5434  7 Co 2.27-2.47
Ge  0.6221  0.3779  0.9566  7 Co 2.27-2.47
Ge  0.9012  0.0988  0.7500  6 Co 2.35-2.37

Summary:
Formation energy, eV per formula unit: -3.03
Space-group type: No. 63